## CrIn2Co (GGA-PBE)

Data for CrIn2Co after structural relaxation.

Lattice parameters (Å, degrees): 3.1580 4.5326 4.6906 90.00 90.00 90.00
Last column: nearest neighbours and their distance in Å.
Element x y z (fractional)
Cr 0.0000 0.0000 0.0000  8 In 2.76-2.89, 2 Co 2.88
In 0.5000 0.0000 0.4838  4 Cr 2.76-2.89, 4 Co 2.81, 2 In 3.01
In 0.5000 0.5000 0.9069  4 Co 2.71-2.94, 4 Cr 2.80, 2 In 3.01
Co 0.0000 0.5000 0.3775  8 In 2.71-2.94, 2 Cr 2.88

* space group: Pmm2 (25)
* ΔH_f (0 K): 321 meV/atom